! KRhW2 (PBE, relaxed); values from VASP
! space group: Cmmm, No. 65
! magnetization: 0.00 μB/atom
! calculated total energy: -7.201 eV/atom
&SYSTEM
  ibrav = 0, nat = 4, ntyp = 3
/
ATOMIC_SPECIES
Rh 102.91 Rh.upf
K 39.10 K.upf
W 183.84 W.upf
CELL_PARAMETERS angstrom
-3.758 -1.567 -3.889
2.989 -3.692 3.023
-1.940 -0.027 1.885
ATOMIC_POSITIONS crystal
Rh 0.000 0.500 0.500
K 0.500 0.000 0.500
W 0.500 0.500 0.000
W 0.000 0.000 0.000